Entry 1:
# NaThBi2 (PBE, optimized geometry)
data_NaThBi2
_chemical_formula_sum 'Na1 Th1 Bi2'
_symmetry_space_group_name_H-M 'P 4/m m m'
_symmetry_Int_Tables_number 123
_symmetry_space_group_name_Hall '-P 4 2'
_cell_length_a 5.3469
_cell_length_b 5.3469
_cell_length_c 4.2002
_cell_angle_alpha 90.00
_cell_angle_beta 90.00
_cell_angle_gamma 90.00
loop_
_atom_site_label
_atom_site_type_symbol
_atom_site_fract_x
_atom_site_fract_y
_atom_site_fract_z
_atom_site_occupancy
Na1 Na 0.0000 0.0000 0.0000 1
Th1 Th 0.5000 0.5000 0.0000 1
Bi1 Bi 0.0000 0.5000 0.5000 1
# Formation energy from the elements   -1.6 eV/f.u.
# Relative energy among the computed polymorphs   0 meV/atom
# DOS(E_F)   0.49 states/eV per atom

---

Entry 2:
# NaTh5Bi6 (PBE, optimized geometry)
data_NaTh5Bi6
_chemical_formula_sum 'Na2 Th10 Bi12'
_symmetry_space_group_name_H-M 'C 1 2/m 1'
_symmetry_Int_Tables_number 12
_cell_length_a 7.9774
_cell_length_b 13.7642
_cell_length_c 7.9720
_cell_angle_alpha 90.00
_cell_angle_beta 109.35
_cell_angle_gamma 90.00
loop_
_symmetry_equiv_pos_as_xyz
'x,y,z'
'-x,-y,-z'
'-x,y,-z'
'x,-y,z'
'x+1/2,y+1/2,z'
'-x+1/2,-y+1/2,-z'
'-x+1/2,y+1/2,-z'
'x+1/2,-y+1/2,z'
loop_
_atom_site_label
_atom_site_type_symbol
_atom_site_fract_x
_atom_site_fract_y
_atom_site_fract_z
_atom_site_occupancy
Na1 Na 0.0000 0.0000 0.0000 1
Th1 Th 0.0000 0.1649 0.5000 1
Th2 Th 0.0000 0.3334 0.0000 1
Th3 Th 0.0000 0.5000 0.5000 1
Bi1 Bi 0.2483 0.0000 0.7539 1
Bi2 Bi 0.2484 0.1654 0.2486 1
# Formation energy from the elements   -6.5 eV/f.u.
# DOS(E_F)   0.61 states/eV per atom

---

Entry 3:
# NaTmTh2Bi4 (PBE, optimized geometry)
data_NaTmTh2Bi4
_chemical_formula_sum 'Na1 Tm1 Th2 Bi4'
_symmetry_space_group_name_H-M 'P 1 2/m 1'
_symmetry_Int_Tables_number 10
_cell_length_a 7.7571
_cell_length_b 4.5966
_cell_length_c 8.0014
_cell_angle_alpha 90.00
_cell_angle_beta 109.39
_cell_angle_gamma 90.00
loop_
_symmetry_equiv_pos_as_xyz
'x,y,z'
'-x,-y,-z'
'-x,y,-z'
'x,-y,z'
loop_
_atom_site_label
_atom_site_type_symbol
_atom_site_fract_x
_atom_site_fract_y
_atom_site_fract_z
_atom_site_occupancy
Na1 Na 0.0000 0.0000 0.0000 1
Tm1 Tm 0.0000 0.5000 0.5000 1
Th1 Th 0.5000 0.0000 0.5000 1
Th2 Th 0.5000 0.5000 0.0000 1
Bi1 Bi 0.2408 0.0000 0.7462 1
Bi2 Bi 0.2483 0.5000 0.2527 1
# Formation energy from the elements   -4.4 eV/f.u.
# DOS(E_F)   0.25 states/eV per atom

---

Entry 4:
# NaYTh2Bi4 (PBE, optimized geometry)
data_NaYTh2Bi4
_chemical_formula_sum 'Na1 Y1 Th2 Bi4'
_symmetry_space_group_name_H-M 'P 1 2/m 1'
_symmetry_Int_Tables_number 10
_cell_length_a 7.8157
_cell_length_b 4.6054
_cell_length_c 8.0098
_cell_angle_alpha 90.00
_cell_angle_beta 109.39
_cell_angle_gamma 90.00
loop_
_symmetry_equiv_pos_as_xyz
'x,y,z'
'-x,-y,-z'
'-x,y,-z'
'x,-y,z'
loop_
_atom_site_label
_atom_site_type_symbol
_atom_site_fract_x
_atom_site_fract_y
_atom_site_fract_z
_atom_site_occupancy
Na1 Na 0.0000 0.0000 0.0000 1
Y1 Y 0.0000 0.5000 0.5000 1
Th1 Th 0.5000 0.0000 0.5000 1
Th2 Th 0.5000 0.5000 0.0000 1
Bi1 Bi 0.2441 0.0000 0.7482 1
Bi2 Bi 0.2506 0.5000 0.2523 1
# Formation energy from the elements   -4.6 eV/f.u.
# DOS(E_F)   0.26 states/eV per atom

---

Question: The lowest DOS(E_F) belongs to which entry?
Answer: NaTmTh2Bi4

---

What did the fourth record say?
# NaYTh2Bi4 (PBE, optimized geometry)
data_NaYTh2Bi4
_chemical_formula_sum 'Na1 Y1 Th2 Bi4'
_symmetry_space_group_name_H-M 'P 1 2/m 1'
_symmetry_Int_Tables_number 10
_cell_length_a 7.8157
_cell_length_b 4.6054
_cell_length_c 8.0098
_cell_angle_alpha 90.00
_cell_angle_beta 109.39
_cell_angle_gamma 90.00
loop_
_symmetry_equiv_pos_as_xyz
'x,y,z'
'-x,-y,-z'
'-x,y,-z'
'x,-y,z'
loop_
_atom_site_label
_atom_site_type_symbol
_atom_site_fract_x
_atom_site_fract_y
_atom_site_fract_z
_atom_site_occupancy
Na1 Na 0.0000 0.0000 0.0000 1
Y1 Y 0.0000 0.5000 0.5000 1
Th1 Th 0.5000 0.0000 0.5000 1
Th2 Th 0.5000 0.5000 0.0000 1
Bi1 Bi 0.2441 0.0000 0.7482 1
Bi2 Bi 0.2506 0.5000 0.2523 1
# Formation energy from the elements   -4.6 eV/f.u.
# DOS(E_F)   0.26 states/eV per atom

---

Question: Which value of DOS(E_F) does entry 4 give?
Answer: 0.26 states/eV per atom

---

What did the fourth record say?
# NaYTh2Bi4 (PBE, optimized geometry)
data_NaYTh2Bi4
_chemical_formula_sum 'Na1 Y1 Th2 Bi4'
_symmetry_space_group_name_H-M 'P 1 2/m 1'
_symmetry_Int_Tables_number 10
_cell_length_a 7.8157
_cell_length_b 4.6054
_cell_length_c 8.0098
_cell_angle_alpha 90.00
_cell_angle_beta 109.39
_cell_angle_gamma 90.00
loop_
_symmetry_equiv_pos_as_xyz
'x,y,z'
'-x,-y,-z'
'-x,y,-z'
'x,-y,z'
loop_
_atom_site_label
_atom_site_type_symbol
_atom_site_fract_x
_atom_site_fract_y
_atom_site_fract_z
_atom_site_occupancy
Na1 Na 0.0000 0.0000 0.0000 1
Y1 Y 0.0000 0.5000 0.5000 1
Th1 Th 0.5000 0.0000 0.5000 1
Th2 Th 0.5000 0.5000 0.0000 1
Bi1 Bi 0.2441 0.0000 0.7482 1
Bi2 Bi 0.2506 0.5000 0.2523 1
# Formation energy from the elements   -4.6 eV/f.u.
# DOS(E_F)   0.26 states/eV per atom